A plane-wave DFT calculation with PBE was carried out for a relaxed structure of Ho2Sc2Tl7.

Unit cell a=6.705 b=8.182 c=6.705 alpha=90.00 beta=117.97 gamma=90.00
Fractional coordinates of all 11 atoms:
Ho 0.752 0.500 0.752
Ho 0.248 0.500 0.248
Sc 0.735 0.000 0.265
Sc 0.265 0.000 0.735
Tl 0.000 0.307 0.500
Tl 0.500 0.693 0.000
Tl 0.000 0.693 0.500
Tl 0.500 0.307 0.000
Tl 0.000 0.000 0.000
Tl 0.500 0.815 0.500
Tl 0.500 0.185 0.500

Results
- magnetization (μB per atom) = 0.0000
- space-group type = Cmmm (65)
- formation energy (meV per atom) = 65

***

A plane-wave DFT calculation with PBE was carried out for a relaxed structure of PmPr6Ho2.

Unit cell a=3.672 b=8.989 c=13.174 alpha=132.64 beta=81.92 gamma=90.09
Fractional coordinates of all 9 atoms:
Pm 0.000 0.000 0.000
Pr 0.891 0.553 0.217
Pr 0.109 0.447 0.783
Pr 0.666 0.668 0.670
Pr 0.779 0.106 0.441
Pr 0.221 0.894 0.559
Pr 0.334 0.332 0.330
Ho 0.445 0.778 0.110
Ho 0.555 0.222 0.890

Results
- magnetization (μB per atom) = 0.0000
- space-group type = P-1 (2)
- formation energy (meV per atom) = 18